(1)
VASP calculation (GGA-PBE) on a relaxed structure of CaGa5.

Properties
The density is 5.35 Mg/m³. The calculation puts the formation energy from the elements at -212 meV/atom. For the offset from the most stable computed form, the calculation gives 0.0469 eV/atom.

Structure (CIF):
```
data_CaGa5
_chemical_formula_sum 'Ca2 Ga10'
_space_group_name_H-M_alt 'C m m m'
_space_group_IT_number 65
_space_group_name_Hall '-C 2 2'
_cell_length_a 4.497
_cell_length_b 12.431
_cell_length_c 4.320
_cell_angle_alpha 90.00
_cell_angle_beta 90.00
_cell_angle_gamma 90.00
loop_
_atom_site_label
_atom_site_type_symbol
_atom_site_fract_x
_atom_site_fract_y
_atom_site_fract_z
Ca1 Ca 0.000 0.000 0.000
Ga1 Ga 0.000 0.176 0.500
Ga2 Ga 0.000 0.319 0.000
Ga3 Ga 0.000 0.500 0.500
```

=====

(2)
VASP calculation (GGA-PBE) on a relaxed structure of Li4Mg9Ag.

Properties
The density is 1.98 Mg/m³. The calculation puts the formation energy from the elements at -57 meV/atom.

Structure (CIF):
```
data_Li4Mg9Ag
_chemical_formula_sum 'Li8 Mg18 Ag2'
_space_group_name_H-M_alt 'P 63/m m c'
_space_group_IT_number 194
_space_group_name_Hall '-P 6c 2c'
_cell_length_a 8.7621
_cell_length_b 8.7621
_cell_length_c 8.9618
_cell_angle_alpha 90.00
_cell_angle_beta 90.00
_cell_angle_gamma 120.00
loop_
_atom_site_label
_atom_site_type_symbol
_atom_site_fract_x
_atom_site_fract_y
_atom_site_fract_z
Li1 Li 0.0000 0.0000 0.0000
Li2 Li 0.1116 0.2232 0.2500
Mg1 Mg 0.0747 0.5373 0.2500
Mg2 Mg 0.2019 0.4039 0.5433
Ag1 Ag 0.3333 0.6667 0.7500
```

=====

(3)
VASP calculation (GGA-PBE) on a relaxed structure of K2PRh.

Properties
The density is 3.97 Mg/m³. The calculation puts the formation energy from the elements at 656 meV/atom.

Structure (CIF):
```
data_K2PRh
_chemical_formula_sum 'K6 P3 Rh3'
_space_group_name_H-M_alt 'R -3 m'
_space_group_IT_number 166
_space_group_name_Hall '-R 3 2"'
_cell_length_a 3.0892
_cell_length_b 3.0892
_cell_length_c 32.1988
_cell_angle_alpha 90.00
_cell_angle_beta 90.00
_cell_angle_gamma 120.00
loop_
_atom_site_label
_atom_site_type_symbol
_atom_site_fract_x
_atom_site_fract_y
_atom_site_fract_z
K1 K 0.0000 0.0000 0.2489
P1 P 0.0000 0.0000 0.5000
Rh1 Rh 0.0000 0.0000 0.0000
```

=====

(4)
VASP calculation (GGA-PBE) on a relaxed structure of LaSc2Se.

Properties
The density is 4.65 Mg/m³. The calculation puts the formation energy from raw total energies at -0.6711 eV per atom.

Structure (CIF):
```
data_LaSc2Se
_chemical_formula_sum 'La3 Sc6 Se3'
_space_group_name_H-M_alt 'R 3 m'
_space_group_IT_number 160
_space_group_name_Hall 'R 3 -2"'
_cell_length_a 3.7235
_cell_length_b 3.7235
_cell_length_c 27.4694
_cell_angle_alpha 90.00
_cell_angle_beta 90.00
_cell_angle_gamma 120.00
loop_
_atom_site_label
_atom_site_type_symbol
_atom_site_fract_x
_atom_site_fract_y
_atom_site_fract_z
La1 La 0.0000 0.0000 0.0000
Sc1 Sc 0.0000 0.0000 0.2288
Sc2 Sc 0.0000 0.0000 0.4702
Se1 Se 0.0000 0.0000 0.7442
```